# CsCaTc2O8 | Alexandria via LeMat-Bulk | PBE-GGA | relaxed
# Electronic total energy = -0.262 Ha/atom
# Formation energy (no corrections) = -1859 meV/atom
data_CsCaTc2O8
_cell_length_a 6.0748
_cell_length_b 6.0748
_cell_length_c 8.4198
_cell_angle_alpha 90.00
_cell_angle_beta 90.00
_cell_angle_gamma 120.00
_space_group_name_H-M_alt 'P -3'
_space_group_IT_number 147
loop_
_space_group_symop_operation_xyz
'x,y,z'
'-x,-y,-z'
'-y,x-y,z'
'y,-x+y,-z'
'-x+y,-x,z'
'x-y,x,-z'
loop_
_atom_site_label
_atom_site_fract_x
_atom_site_fract_y
_atom_site_fract_z
Cs1 0.0000 0.0000 0.0000
Ca1 0.0000 0.0000 0.5000
Tc1 0.3333 0.6667 0.7400
O1 0.1713 0.3486 0.6722
O2 0.3333 0.6667 0.9474

---

# Cs2CaTcO6 | Alexandria via LeMat-Bulk | PBE-GGA | relaxed
# Electronic total energy = -0.220 Ha/atom
# Formation energy (no corrections) = -1595 meV/atom
data_Cs2CaTcO6
_cell_length_a 6.6770
_cell_length_b 6.6770
_cell_length_c 5.8884
_cell_angle_alpha 90.00
_cell_angle_beta 90.00
_cell_angle_gamma 120.00
_space_group_name_H-M_alt 'P -3 m 1'
_space_group_IT_number 164
_space_group_name_Hall '-P 3 2"'
loop_
_atom_site_label
_atom_site_fract_x
_atom_site_fract_y
_atom_site_fract_z
Cs1 0.3333 0.6667 0.1508
Ca1 0.0000 0.0000 0.5000
Tc1 0.0000 0.0000 0.0000
O1 0.1315 0.2631 0.8062

---

# Cs3CaTe2O6 | Alexandria via LeMat-Bulk | PBE-GGA | relaxed
# Electronic total energy = -0.182 Ha/atom
# Formation energy (no corrections) = -1572 meV/atom
data_Cs3CaTe2O6
_cell_length_a 6.3721
_cell_length_b 6.3721
_cell_length_c 7.8510
_cell_angle_alpha 90.00
_cell_angle_beta 90.00
_cell_angle_gamma 120.00
_space_group_name_H-M_alt 'P -3 m 1'
_space_group_IT_number 164
_space_group_name_Hall '-P 3 2"'
loop_
_atom_site_label
_atom_site_fract_x
_atom_site_fract_y
_atom_site_fract_z
Cs1 0.0000 0.0000 0.0000
Cs2 0.3333 0.6667 0.6753
Ca1 0.0000 0.0000 0.5000
Te1 0.3333 0.6667 0.2058
O1 0.1807 0.3613 0.3220

---

# Cs3CaTe2O8 | Alexandria via LeMat-Bulk | PBE-GGA | relaxed
# Electronic total energy = -0.189 Ha/atom
# Formation energy (no corrections) = -1532 meV/atom
data_Cs3CaTe2O8
_cell_length_a 6.4815
_cell_length_b 6.4815
_cell_length_c 8.5672
_cell_angle_alpha 90.00
_cell_angle_beta 90.00
_cell_angle_gamma 120.00
_space_group_name_H-M_alt 'P -3 m 1'
_space_group_IT_number 164
_space_group_name_Hall '-P 3 2"'
loop_
_atom_site_label
_atom_site_fract_x
_atom_site_fract_y
_atom_site_fract_z
Cs1 0.0000 0.0000 0.0000
Cs2 0.3333 0.6667 0.7121
Ca1 0.0000 0.0000 0.5000
Te1 0.3333 0.6667 0.2647
O1 0.1720 0.3439 0.3333
O2 0.3333 0.6667 0.0482

---

# CsCaTe2O | Alexandria via LeMat-Bulk | PBE-GGA | relaxed
# Electronic total energy = -0.101 Ha/atom
# Formation energy (no corrections) = 64 meV/atom
data_CsCaTe2O
_cell_length_a 6.2103
_cell_length_b 6.2103
_cell_length_c 4.4770
_cell_angle_alpha 90.00
_cell_angle_beta 90.00
_cell_angle_gamma 90.00
_space_group_name_H-M_alt 'P 4/m m m'
_space_group_IT_number 123
_space_group_name_Hall '-P 4 2'
loop_
_atom_site_label
_atom_site_fract_x
_atom_site_fract_y
_atom_site_fract_z
Cs1 0.0000 0.0000 0.0000
Ca1 0.5000 0.5000 0.5000
Te1 0.0000 0.5000 0.0000
O1 0.0000 0.0000 0.5000

---

# Cs2CaTiO4 | Alexandria via LeMat-Bulk | PBE-GGA | relaxed
# Electronic total energy = -0.229 Ha/atom
# Formation energy (no corrections) = -2310 meV/atom
data_Cs2CaTiO4
_cell_length_a 5.7941
_cell_length_b 12.8501
_cell_length_c 22.8717
_cell_angle_alpha 90.00
_cell_angle_beta 90.00
_cell_angle_gamma 90.00
_space_group_name_H-M_alt 'F d d d'
_space_group_IT_number 70
loop_
_space_group_symop_operation_xyz
'x,y,z'
'-x,-y,-z'
'-x+1/4,-y+1/4,z'
'x+1/4,y+1/4,-z'
'x,-y+1/4,-z+1/4'
'-x,y+1/4,z+1/4'
'-x+1/4,y,-z+1/4'
'x+1/4,-y,z+1/4'
'x,y+1/2,z+1/2'
'-x,-y+1/2,-z+1/2'
'-x+1/4,-y+3/4,z+1/2'
'x+1/4,y+3/4,-z+1/2'
'x,-y+3/4,-z+3/4'
'-x,y+3/4,z+3/4'
'-x+1/4,y+1/2,-z+3/4'
'x+1/4,-y+1/2,z+3/4'
'x+1/2,y,z+1/2'
'-x+1/2,-y,-z+1/2'
'-x+3/4,-y+1/4,z+1/2'
'x+3/4,y+1/4,-z+1/2'
'x+1/2,-y+1/4,-z+3/4'
'-x+1/2,y+1/4,z+3/4'
'-x+3/4,y,-z+3/4'
'x+3/4,-y,z+3/4'
'x+1/2,y+1/2,z'
'-x+1/2,-y+1/2,-z'
'-x+3/4,-y+3/4,z'
'x+3/4,y+3/4,-z'
'x+1/2,-y+3/4,-z+1/4'
'-x+1/2,y+3/4,z+1/4'
'-x+3/4,y+1/2,-z+1/4'
'x+3/4,-y+1/2,z+1/4'
loop_
_atom_site_label
_atom_site_fract_x
_atom_site_fract_y
_atom_site_fract_z
Cs1 0.1250 0.1250 0.3050
Ca1 0.1250 0.1250 0.1250
Ti1 0.1250 0.1250 0.6250
O1 0.0806 0.2928 0.8342

---

# CsCaTlO3 | Alexandria via LeMat-Bulk | PBE-GGA | relaxed
# Electronic total energy = -0.179 Ha/atom
# Formation energy (no corrections) = -1531 meV/atom
data_CsCaTlO3
_cell_length_a 6.4503
_cell_length_b 3.7607
_cell_length_c 9.2241
_cell_angle_alpha 90.00
_cell_angle_beta 103.30
_cell_angle_gamma 90.00
_space_group_name_H-M_alt 'P 1 21/m 1'
_space_group_IT_number 11
loop_
_space_group_symop_operation_xyz
'x,y,z'
'-x,-y,-z'
'-x,y+1/2,-z'
'x,-y+1/2,z'
loop_
_atom_site_label
_atom_site_fract_x
_atom_site_fract_y
_atom_site_fract_z
Cs1 0.1450 0.2500 0.1824
Ca1 0.2556 0.7500 0.5317
Tl1 0.3728 0.2500 0.8346
O1 0.0817 0.2500 0.6398
O2 0.3191 0.7500 0.9585
O3 0.4771 0.7500 0.3584